[1]
A relaxed CaBeRh2 crystal, computed with PBE.

abc: 3.0019 3.0019 6.7074
angles: 90.00 90.00 90.10
Atoms (fractional coordinates):
Be: 0.5000 0.5000 0.2500
Ca: 0.5000 0.5000 0.7500
Rh: 0.0000 0.0000 0.0558
Rh: 0.0000 0.0000 0.4442

Properties
Total moment   0.0 μB per formula unit
Crystal system   orthorhombic
Density   7.00 g/cm³
Density of states at the Fermi level   3.626 states/eV/f.u.
Formation enthalpy at 0 K   -0.27 eV/atom



[2]
A relaxed Al2FeHg crystal, computed with PBE.

abc: 4.4842 4.4842 4.4842
angles: 60.00 60.00 60.00
Atoms (fractional coordinates):
Al: 0.0000 0.0000 0.0000
Al: 0.2500 0.2500 0.2500
Hg: 0.7500 0.7500 0.7500
Fe: 0.5000 0.5000 0.5000

Properties
Total moment   1.5 μB per formula unit
Crystal system   cubic
Density   8.08 g/cm³
Density of states at the Fermi level   3.674 states/eV/f.u.
Formation enthalpy at 0 K   0.38 eV/atom



[3]
A relaxed LiCaMn crystal, computed with PBE.

abc: 4.8153 4.8153 4.8153
angles: 60.00 60.00 60.00
Atoms (fractional coordinates):
Ca: 0.5000 0.5000 0.5000
Li: 0.7500 0.7500 0.7500
Mn: 0.0000 0.0000 0.0000

Properties
Total moment   3.9 μB per formula unit
Crystal system   cubic
Density   2.14 g/cm³
Density of states at the Fermi level   3.359 states/eV/f.u.
Formation enthalpy at 0 K   0.65 eV/atom



[4]
A relaxed SrRuSe2 crystal, computed with PBE.

abc: 3.9572 3.9572 7.2497
angles: 90.00 90.00 117.98
Atoms (fractional coordinates):
Ru: 0.5000 0.5000 0.7500
Se: 0.0000 0.0000 0.9582
Se: 0.0000 0.0000 0.5418
Sr: 0.5000 0.5000 0.2500

Properties
Total moment   1.9 μB per formula unit
Crystal system   orthorhombic
Density   5.74 g/cm³
Raw formation energy   -0.393 eV/atom
Density of states at the Fermi level   3.021 states/eV/f.u.



[5]
A relaxed LiCa3Ce2Te6 crystal, computed with PBE.

abc: 4.4879 9.0446 10.0814
angles: 103.52 102.86 90.00
Atoms (fractional coordinates):
Li: 0.5000 0.0000 0.0000
Ca: 0.5000 0.5000 0.0000
Ca: 0.8350 0.1645 0.6700
Ca: 0.1650 0.8355 0.3300
Ce: 0.8363 0.6698 0.6726
Ce: 0.1637 0.3302 0.3274
Te: 0.3338 0.9188 0.6675
Te: 0.6671 0.5865 0.3343
Te: 0.6662 0.0812 0.3325
Te: 0.9995 0.2453 0.9990
Te: 0.0005 0.7547 0.0010
Te: 0.3329 0.4135 0.6657

Properties
Total moment   2.6 μB per formula unit
Crystal system   monoclinic
Density   5.03 g/cm³
Raw formation energy   -1.432 eV/atom
Density of states at the Fermi level   16.221 states/eV/f.u.



[6]
A relaxed YAlAg crystal, computed with PBE.

abc: 5.2679 5.2679 5.2679
angles: 144.21 128.88 63.97
Atoms (fractional coordinates):
Y: 0.6699 0.6699 0.0000
Al: 0.3292 0.3292 0.0000
Ag: 0.0008 0.0008 0.0000

Properties
Total moment   0.0 μB per formula unit
Crystal system   orthorhombic
Density   5.65 g/cm³
Density of states at the Fermi level   2.460 states/eV/f.u.
Formation enthalpy at 0 K   -0.12 eV/atom



[7]
A relaxed Ti2Si2P crystal, computed with PBE.

abc: 6.5018 6.5018 3.6918
angles: 90.00 90.00 90.00
Atoms (fractional coordinates):
P: 0.0000 0.0000 0.0000
P: 0.5000 0.5000 0.0000
Si: 0.1272 0.6272 0.5000
Si: 0.6272 0.8728 0.5000
Si: 0.8728 0.3728 0.5000
Si: 0.3728 0.1272 0.5000
Ti: 0.3240 0.8240 0.0000
Ti: 0.8240 0.6760 0.0000
Ti: 0.6760 0.1760 0.0000
Ti: 0.1760 0.3240 0.0000

Properties
Total moment   0.0 μB per formula unit
Crystal system   tetragonal
Density   3.89 g/cm³
Raw formation energy   -0.545 eV/atom
Density of states at the Fermi level   3.658 states/eV/f.u.



[8]
A relaxed Sm2HIr crystal, computed with PBE.

abc: 3.7985 7.0209 7.2199
angles: 111.89 105.24 90.01
Atoms (fractional coordinates):
Sm: 0.3455 0.0346 0.2655
Sm: 0.0465 0.5365 0.6678
Sm: 0.6143 0.0230 0.8031
Sm: 0.3153 0.5249 0.2054
H: 0.2193 0.1789 0.0129
H: 0.4415 0.3806 0.4580
Ir: 0.7143 0.7199 0.0037
Ir: 0.9466 0.8397 0.4672

Properties
Total moment   0.0 μB per formula unit
Crystal system   monoclinic
Density   9.57 g/cm³
Total energy   -6.026 eV/atom
Density of states at the Fermi level   2.010 states/eV/f.u.